#one
{
  "formula": "Tb7Y4Mg",
  "functional": "GGA-PBE",
  "state": "relaxed",
  "volume_a3_per_atom": 32.8,
  "magnetic_moment_mub_per_cell": 0.0,
  "crystal_system": "monoclinic",
  "sg": "C2/m",
  "lattice": [[5.638, 0.000, 1.532], [2.492, 5.842, 1.967], [-0.090, -2.151, 11.467]],
  "species": ["Tb", "Tb", "Mg", "Tb", "Y", "Tb", "Y", "Tb", "Tb", "Y", "Tb", "Y"],
  "fractional_positions": [[0.634, 0.213, 0.519], [0.092, 0.094, 0.722], [0.000, 0.000, 0.000], [0.203, 0.519, 0.076], [0.836, 0.690, 0.637], [0.908, 0.906, 0.278], [0.368, 0.491, 0.774], [0.366, 0.787, 0.481], [0.500, 0.000, 0.000], [0.164, 0.310, 0.363], [0.797, 0.481, 0.924], [0.632, 0.509, 0.226]]
}

---

#two
{
  "formula": "Tb7Y4Mg",
  "functional": "GGA-PBE",
  "state": "relaxed",
  "volume_a3_per_atom": 31.5,
  "magnetic_moment_mub_per_cell": 0.0,
  "crystal_system": "trigonal",
  "sg": "P-3m1",
  "lattice": [[-3.016, -1.885, 0.161], [2.895, -1.122, 1.741], [-9.738, 17.948, 27.761]],
  "species": ["Tb", "Tb", "Y", "Y", "Tb", "Mg", "Tb", "Y", "Y", "Tb", "Tb", "Tb"],
  "fractional_positions": [[0.000, 0.000, 0.253], [0.667, 0.333, 0.831], [0.667, 0.333, 0.338], [0.333, 0.667, 0.916], [0.667, 0.333, 0.578], [0.000, 0.000, 0.500], [0.000, 0.000, 0.000], [0.667, 0.333, 0.084], [0.333, 0.667, 0.662], [0.333, 0.667, 0.169], [0.000, 0.000, 0.747], [0.333, 0.667, 0.422]]
}

---

Relative to the most stable structure, the computed energies are #one 0.240; #two 0.000, all in eV/atom.

---

#one
{
  "formula": "Tb6Y3Mg",
  "functional": "GGA-PBE",
  "state": "relaxed",
  "volume_a3_per_atom": 31.4,
  "magnetic_moment_mub_per_cell": 0.0,
  "crystal_system": "monoclinic",
  "sg": "P2_1/m",
  "lattice": [[-4.750, -0.819, -1.422], [1.591, -10.965, 1.002], [-3.310, 0.616, 10.703]],
  "species": ["Y", "Tb", "Y", "Tb", "Tb", "Tb", "Y", "Tb", "Tb", "Tb", "Tb", "Tb", "Y", "Tb", "Y", "Y", "Mg", "Tb", "Mg", "Tb"],
  "fractional_positions": [[0.250, 0.752, 0.004], [0.250, 0.150, 0.196], [0.250, 0.551, 0.401], [0.750, 0.952, 0.102], [0.750, 0.850, 0.804], [0.250, 0.048, 0.898], [0.750, 0.449, 0.599], [0.750, 0.146, 0.693], [0.250, 0.448, 0.102], [0.750, 0.346, 0.299], [0.250, 0.854, 0.307], [0.250, 0.244, 0.497], [0.250, 0.348, 0.795], [0.250, 0.654, 0.701], [0.750, 0.248, 0.996], [0.750, 0.652, 0.205], [0.750, 0.048, 0.401], [0.750, 0.756, 0.503], [0.250, 0.952, 0.599], [0.750, 0.552, 0.898]]
}

---

#two
{
  "formula": "Tb6Y3Mg",
  "functional": "GGA-PBE",
  "state": "relaxed",
  "volume_a3_per_atom": 31.6,
  "magnetic_moment_mub_per_cell": 0.0,
  "crystal_system": "orthorhombic",
  "sg": "Cmc2_1",
  "lattice": [[-6.391, 5.543, 3.292], [-4.982, -1.577, -7.017], [-1.287, -5.468, 6.708]],
  "species": ["Y", "Y", "Tb", "Y", "Tb", "Tb", "Tb", "Tb", "Tb", "Tb", "Mg", "Y", "Tb", "Tb", "Tb", "Mg", "Tb", "Y", "Tb", "Y"],
  "fractional_positions": [[0.939, 0.679, 0.968], [0.439, 0.321, 0.032], [0.100, 0.857, 0.714], [0.929, 0.466, 0.534], [0.600, 0.143, 0.286], [0.100, 0.286, 0.143], [0.284, 0.936, 0.064], [0.654, 0.298, 0.702], [0.784, 0.064, 0.936], [0.267, 0.172, 0.477], [0.505, 0.759, 0.241], [0.439, 0.968, 0.679], [0.267, 0.523, 0.828], [0.154, 0.702, 0.298], [0.600, 0.714, 0.857], [0.005, 0.241, 0.759], [0.767, 0.477, 0.172], [0.939, 0.032, 0.321], [0.767, 0.828, 0.523], [0.429, 0.534, 0.466]]
}

---

Relative to the most stable structure, the computed energies are #one 0.000; #two 0.104, all in eV/atom.

---

#one
{
  "formula": "TbMg4Zn",
  "functional": "GGA-PBE",
  "state": "relaxed",
  "volume_a3_per_atom": 23.1,
  "magnetic_moment_mub_per_cell": 0.0,
  "crystal_system": "orthorhombic",
  "sg": "Pmma",
  "lattice": [[4.289, 0.000, 0.000], [0.000, 7.698, 0.000], [0.000, 0.000, 8.387]],
  "species": ["Mg", "Mg", "Mg", "Zn", "Mg", "Mg", "Tb", "Mg", "Tb", "Zn", "Mg", "Mg"],
  "fractional_positions": [[0.000, 0.000, 0.000], [0.500, 0.945, 0.750], [0.500, 0.312, 0.557], [0.000, 0.778, 0.250], [0.500, 0.688, 0.443], [0.000, 0.000, 0.500], [0.000, 0.386, 0.250], [0.500, 0.688, 0.057], [0.000, 0.614, 0.750], [0.000, 0.222, 0.750], [0.500, 0.312, 0.943], [0.500, 0.055, 0.250]]
}

---

#two
{
  "formula": "TbMg4Zn",
  "functional": "GGA-PBE",
  "state": "relaxed",
  "volume_a3_per_atom": 23.7,
  "magnetic_moment_mub_per_cell": 0.0,
  "crystal_system": "monoclinic",
  "sg": "C2/m",
  "lattice": [[-0.401, 1.387, -5.071], [3.019, -6.127, -1.915], [-8.179, -0.901, 3.131]],
  "species": ["Mg", "Mg", "Tb", "Mg", "Zn", "Mg", "Mg", "Mg", "Tb", "Zn", "Mg", "Mg"],
  "fractional_positions": [[0.382, 0.108, 0.764], [0.382, 0.656, 0.764], [0.796, 0.795, 0.591], [0.000, 0.813, 0.000], [0.267, 0.500, 0.999], [0.000, 0.187, 0.000], [0.618, 0.892, 0.236], [0.831, 0.332, 0.664], [0.204, 0.205, 0.409], [0.733, 0.500, 0.001], [0.618, 0.344, 0.236], [0.169, 0.668, 0.336]]
}

---

Relative to the most stable structure, the computed energies are #one 0.000; #two 0.097, all in eV/atom.

---

#one
{
  "formula": "Tb2MgZn",
  "functional": "GGA-PBE",
  "state": "relaxed",
  "volume_a3_per_atom": 25.3,
  "magnetic_moment_mub_per_cell": 0.0,
  "crystal_system": "tetragonal",
  "sg": "P4/mmm",
  "lattice": [[3.606, 0.000, 0.000], [0.000, 3.606, 0.000], [0.000, 0.000, 7.776]],
  "species": ["Tb", "Zn", "Tb", "Mg"],
  "fractional_positions": [[0.000, 0.000, 0.777], [0.500, 0.500, 0.000], [0.000, 0.000, 0.223], [0.500, 0.500, 0.500]]
}

---

#two
{
  "formula": "Tb2MgZn",
  "functional": "GGA-PBE",
  "state": "relaxed",
  "volume_a3_per_atom": 28.4,
  "magnetic_moment_mub_per_cell": 0.0,
  "crystal_system": "trigonal",
  "sg": "R-3m",
  "lattice": [[3.374, 0.000, 0.000], [1.687, 2.922, 0.000], [1.687, 0.974, 11.514]],
  "species": ["Zn", "Mg", "Tb", "Tb"],
  "fractional_positions": [[0.000, 0.000, 0.000], [0.500, 0.500, 0.500], [0.911, 0.911, 0.268], [0.089, 0.089, 0.732]]
}

---

#three
{
  "formula": "Tb2MgZn",
  "functional": "GGA-PBE",
  "state": "relaxed",
  "volume_a3_per_atom": 25.0,
  "magnetic_moment_mub_per_cell": 0.0,
  "crystal_system": "cubic",
  "sg": "Fm-3m",
  "lattice": [[5.209, 0.000, 0.000], [2.604, 4.511, 0.000], [2.604, 1.504, 4.253]],
  "species": ["Zn", "Tb", "Tb", "Mg"],
  "fractional_positions": [[0.500, 0.500, 0.500], [0.750, 0.750, 0.750], [0.250, 0.250, 0.250], [0.000, 0.000, 0.000]]
}

---

Relative to the most stable structure, the computed energies are #one 0.000; #two 0.475; #three 0.032, all in eV/atom.